# PBE-GGA Al2HgAs, optimized geometry
data_Al2HgAs
_space_group_name_H-M_alt 'P 1'
_space_group_IT_number 1
_space_group_name_Hall 'P 1'
_cell_length_a 2.768
_cell_length_b 3.818
_cell_length_c 7.712
_cell_angle_alpha 90.00
_cell_angle_beta 90.00
_cell_angle_gamma 90.00
loop_
_atom_site_label
_atom_site_fract_x
_atom_site_fract_y
_atom_site_fract_z
Al1 0.000 0.000 0.240
Al2 0.000 0.000 0.760
Hg1 0.500 0.500 0.500
As1 0.000 0.500 0.000
# ΔE to the lowest computed polymorph, meV/atom: 109
# Calculated formation energy, eV per atom: 0.0771
# Total DFT energy (no corrections), eV per atom: -3.0320

=====

# PBE-GGA AlHgAs2, optimized geometry
data_AlHgAs2
_space_group_name_H-M_alt 'P 1'
_space_group_IT_number 1
_space_group_name_Hall 'P 1'
_cell_length_a 5.789
_cell_length_b 7.496
_cell_length_c 3.769
_cell_angle_alpha 90.00
_cell_angle_beta 90.00
_cell_angle_gamma 90.00
loop_
_atom_site_label
_atom_site_fract_x
_atom_site_fract_y
_atom_site_fract_z
Al1 0.000 0.000 0.000
Al2 0.500 0.500 0.000
Hg1 0.000 0.500 0.000
Hg2 0.500 0.000 0.000
As1 0.250 0.250 0.500
As2 0.250 0.750 0.500
As3 0.750 0.250 0.500
As4 0.750 0.750 0.500
# ΔE to the lowest computed polymorph, meV/atom: 362
# Calculated formation energy, eV per atom: 0.3187
# Total DFT energy (no corrections), eV per atom: -3.0172

=====

# PBE-GGA AlHg2As2, optimized geometry
data_AlHg2As2
_space_group_name_H-M_alt 'P 1'
_space_group_IT_number 1
_space_group_name_Hall 'P 1'
_cell_length_a 7.282
_cell_length_b 7.282
_cell_length_c 4.357
_cell_angle_alpha 90.00
_cell_angle_beta 90.00
_cell_angle_gamma 90.00
loop_
_atom_site_label
_atom_site_fract_x
_atom_site_fract_y
_atom_site_fract_z
Al1 0.000 0.000 0.000
Al2 0.500 0.500 0.000
Hg1 0.141 0.359 0.500
Hg2 0.359 0.859 0.500
Hg3 0.641 0.141 0.500
Hg4 0.859 0.641 0.500
As1 0.191 0.691 0.000
As2 0.309 0.191 0.000
As3 0.691 0.809 0.000
As4 0.809 0.309 0.000
# Calculated formation energy, eV per atom: 0.2418
# Total DFT energy (no corrections), eV per atom: -2.4872

=====

# PBE-GGA AlHgAs2, optimized geometry
data_AlHgAs2
_space_group_name_H-M_alt 'P 1'
_space_group_IT_number 1
_space_group_name_Hall 'P 1'
_cell_length_a 5.997
_cell_length_b 5.997
_cell_length_c 11.664
_cell_angle_alpha 90.00
_cell_angle_beta 90.00
_cell_angle_gamma 90.00
loop_
_atom_site_label
_atom_site_fract_x
_atom_site_fract_y
_atom_site_fract_z
Al1 0.000 0.000 0.000
Al2 0.000 0.500 0.250
Al3 0.500 0.000 0.750
Al4 0.500 0.500 0.500
Hg1 0.000 0.000 0.500
Hg2 0.000 0.500 0.750
Hg3 0.500 0.000 0.250
Hg4 0.500 0.500 0.000
As1 0.224 0.250 0.125
As2 0.250 0.724 0.375
As3 0.250 0.776 0.875
As4 0.276 0.250 0.625
As5 0.724 0.750 0.625
As6 0.750 0.224 0.875
As7 0.750 0.276 0.375
As8 0.776 0.750 0.125
# ΔE to the lowest computed polymorph, meV/atom: 0
# Calculated formation energy, eV per atom: -0.0435
# Total DFT energy (no corrections), eV per atom: -3.3794

=====

# PBE-GGA Al2HgAs, optimized geometry
data_Al2HgAs
_space_group_name_H-M_alt 'P 1'
_space_group_IT_number 1
_space_group_name_Hall 'P 1'
_cell_length_a 3.390
_cell_length_b 3.390
_cell_length_c 6.847
_cell_angle_alpha 90.00
_cell_angle_beta 90.00
_cell_angle_gamma 90.00
loop_
_atom_site_label
_atom_site_fract_x
_atom_site_fract_y
_atom_site_fract_z
Al1 0.000 0.000 0.212
Al2 0.000 0.000 0.788
Hg1 0.500 0.500 0.500
As1 0.500 0.500 0.000
# ΔE to the lowest computed polymorph, meV/atom: 182
# Calculated formation energy, eV per atom: 0.1504
# Total DFT energy (no corrections), eV per atom: -2.9587

=====

# PBE-GGA Al2HgAs, optimized geometry
data_Al2HgAs
_space_group_name_H-M_alt 'P 1'
_space_group_IT_number 1
_space_group_name_Hall 'P 1'
_cell_length_a 6.356
_cell_length_b 6.356
_cell_length_c 10.139
_cell_angle_alpha 90.00
_cell_angle_beta 90.00
_cell_angle_gamma 90.00
loop_
_atom_site_label
_atom_site_fract_x
_atom_site_fract_y
_atom_site_fract_z
Al1 0.226 0.250 0.125
Al2 0.250 0.726 0.375
Al3 0.250 0.774 0.875
Al4 0.274 0.250 0.625
Al5 0.726 0.750 0.625
Al6 0.750 0.226 0.875
Al7 0.750 0.274 0.375
Al8 0.774 0.750 0.125
Hg1 0.000 0.000 0.500
Hg2 0.000 0.500 0.750
Hg3 0.500 0.000 0.250
Hg4 0.500 0.500 0.000
As1 0.000 0.000 0.000
As2 0.000 0.500 0.250
As3 0.500 0.000 0.750
As4 0.500 0.500 0.500
# ΔE to the lowest computed polymorph, meV/atom: 90
# Calculated formation energy, eV per atom: 0.0588
# Total DFT energy (no corrections), eV per atom: -3.0503

=====

# PBE-GGA AlHgAs2, optimized geometry
data_AlHgAs2
_space_group_name_H-M_alt 'P 1'
_space_group_IT_number 1
_space_group_name_Hall 'P 1'
_cell_length_a 3.143
_cell_length_b 3.143
_cell_length_c 31.778
_cell_angle_alpha 90.00
_cell_angle_beta 90.00
_cell_angle_gamma 120.00
loop_
_atom_site_label
_atom_site_fract_x
_atom_site_fract_y
_atom_site_fract_z
Al1 0.000 0.000 0.000
Al2 0.333 0.667 0.667
Al3 0.667 0.333 0.333
Hg1 0.000 0.000 0.500
Hg2 0.333 0.667 0.167
Hg3 0.667 0.333 0.833
As1 0.000 0.000 0.273
As2 0.000 0.000 0.727
As3 0.333 0.667 0.394
As4 0.333 0.667 0.939
As5 0.667 0.333 0.061
As6 0.667 0.333 0.606
# ΔE to the lowest computed polymorph, meV/atom: 132
# Calculated formation energy, eV per atom: 0.0885
# Total DFT energy (no corrections), eV per atom: -3.2473

=====

# PBE-GGA AlHgAs2, optimized geometry
data_AlHgAs2
_space_group_name_H-M_alt 'P 1'
_space_group_IT_number 1
_space_group_name_Hall 'P 1'
_cell_length_a 5.885
_cell_length_b 9.511
_cell_length_c 2.998
_cell_angle_alpha 90.00
_cell_angle_beta 104.33
_cell_angle_gamma 90.00
loop_
_atom_site_label
_atom_site_fract_x
_atom_site_fract_y
_atom_site_fract_z
Al1 0.000 0.000 0.000
Al2 0.500 0.500 0.000
Hg1 0.000 0.500 0.000
Hg2 0.500 0.000 0.000
As1 0.250 0.250 0.500
As2 0.250 0.750 0.500
As3 0.750 0.250 0.500
As4 0.750 0.750 0.500
# ΔE to the lowest computed polymorph, meV/atom: 373
# Calculated formation energy, eV per atom: 0.3299
# Total DFT energy (no corrections), eV per atom: -3.0059

=====

# PBE-GGA Al2HgAs, optimized geometry
data_Al2HgAs
_space_group_name_H-M_alt 'P 1'
_space_group_IT_number 1
_space_group_name_Hall 'P 1'
_cell_length_a 5.575
_cell_length_b 8.041
_cell_length_c 3.870
_cell_angle_alpha 90.00
_cell_angle_beta 90.99
_cell_angle_gamma 90.00
loop_
_atom_site_label
_atom_site_fract_x
_atom_site_fract_y
_atom_site_fract_z
Al1 0.000 0.218 0.000
Al2 0.000 0.782 0.000
Al3 0.500 0.282 0.000
Al4 0.500 0.718 0.000
Hg1 0.000 0.500 0.500
Hg2 0.500 0.000 0.500
As1 0.000 0.000 0.500
As2 0.500 0.500 0.500
# ΔE to the lowest computed polymorph, meV/atom: 126
# Calculated formation energy, eV per atom: 0.0947
# Total DFT energy (no corrections), eV per atom: -3.0144

=====

# PBE-GGA AlHgAs2, optimized geometry
data_AlHgAs2
_space_group_name_H-M_alt 'P 1'
_space_group_IT_number 1
_space_group_name_Hall 'P 1'
_cell_length_a 5.099
_cell_length_b 5.099
_cell_length_c 3.108
_cell_angle_alpha 90.00
_cell_angle_beta 90.00
_cell_angle_gamma 90.00
loop_
_atom_site_label
_atom_site_fract_x
_atom_site_fract_y
_atom_site_fract_z
Al1 0.000 0.000 0.000
Hg1 0.500 0.500 0.000
As1 0.000 0.500 0.500
As2 0.500 0.000 0.500
# ΔE to the lowest computed polymorph, meV/atom: 355
# Calculated formation energy, eV per atom: 0.3117
# Total DFT energy (no corrections), eV per atom: -3.0242

=====

# PBE-GGA Al2HgAsI, optimized geometry
data_Al2HgAsI
_space_group_name_H-M_alt 'P 1'
_space_group_IT_number 1
_space_group_name_Hall 'P 1'
_cell_length_a 5.562
_cell_length_b 5.562
_cell_length_c 5.741
_cell_angle_alpha 90.00
_cell_angle_beta 90.00
_cell_angle_gamma 90.00
loop_
_atom_site_label
_atom_site_fract_x
_atom_site_fract_y
_atom_site_fract_z
Al1 0.000 0.500 0.000
Al2 0.500 0.000 0.000
Hg1 0.000 0.000 0.500
As1 0.500 0.500 0.500
I1 0.000 0.000 0.000
# ΔE to the lowest computed polymorph, meV/atom: 388
# E_form (uncorrected), eV per atom: 1.14
# Total DFT energy (no corrections), eV per atom: -1.6558

=====

# PBE-GGA Al2HgAsI, optimized geometry
data_Al2HgAsI
_space_group_name_H-M_alt 'P 1'
_space_group_IT_number 1
_space_group_name_Hall 'P 1'
_cell_length_a 4.971
_cell_length_b 4.971
_cell_length_c 6.166
_cell_angle_alpha 90.00
_cell_angle_beta 90.00
_cell_angle_gamma 90.00
loop_
_atom_site_label
_atom_site_fract_x
_atom_site_fract_y
_atom_site_fract_z
Al1 0.000 0.500 0.000
Al2 0.500 0.000 0.000
Hg1 0.000 0.000 0.000
As1 0.500 0.500 0.500
I1 0.000 0.000 0.500
# ΔE to the lowest computed polymorph, meV/atom: 0
# E_form (uncorrected), eV per atom: 0.75
# Total DFT energy (no corrections), eV per atom: -2.0441